Li4Cr3Co3Sn2O16 | PBE with a Hubbard U | optimized geometry

```
Li4Cr3Co3Sn2O16
1.0
5.850 0.000 0.000
-2.898 5.085 0.000
-0.131 -0.119 9.636
Li Cr Co Sn O
4 3 3 2 16
Direct
0.000 0.000 0.000 Li
0.008 0.004 0.499 Li
0.329 0.660 0.903 Li
0.653 0.329 0.398 Li
0.654 0.827 0.220 Cr
0.826 0.655 0.719 Cr
0.831 0.172 0.724 Cr
0.162 0.335 0.220 Co
0.164 0.827 0.220 Co
0.337 0.164 0.720 Co
0.327 0.662 0.496 Sn
0.657 0.324 0.000 Sn
0.003 0.007 0.811 O
0.009 0.001 0.312 O
0.025 0.515 0.333 O
0.156 0.838 0.606 O
0.157 0.317 0.608 O
0.309 0.151 0.112 O
0.309 0.657 0.118 O
0.464 0.965 0.339 O
0.470 0.509 0.341 O
0.509 0.472 0.842 O
0.510 0.026 0.840 O
0.656 0.311 0.614 O
0.683 0.845 0.603 O
0.838 0.155 0.106 O
0.843 0.681 0.106 O
0.964 0.470 0.844 O
```

Properties
Crystal system: triclinic
Size of the total moment (μB/f.u.): 6.91
Total DFT energy (no corrections) (eV for the cell shown): -177.69